{
  "formula": "Co2Ni2IrO6",
  "functional": "GGA+U",
  "state": "optimized geometry",
  "lattice_angstrom": [[-4.285, 0.716, 2.869], [-0.288, -3.085, -4.183], [2.824, -3.046, 3.242]],
  "species": ["O", "O", "O", "O", "O", "O", "Co", "Co", "Ni", "Ni", "Ir"],
  "fractional_positions": [[0.604, 0.949, 0.269], [0.771, 0.771, 0.736], [0.949, 0.604, 0.269], [0.396, 0.051, 0.731], [0.229, 0.229, 0.264], [0.051, 0.396, 0.731], [0.826, 0.174, 0.000], [0.174, 0.826, 0.000], [0.340, 0.660, 0.500], [0.660, 0.340, 0.500], [0.000, 0.000, 0.500]],
  "m_tot_mub_per_fu": 8.95,
  "dft_energy_ev_per_atom": -5.75,
  "dos_at_fermi_per_ev_fu": 5.034
}